A plane-wave DFT calculation with PBE was carried out for a relaxed Pa2Ni3P4Ru crystal.

Computed properties:
Calculated density = 9.61 g/cm³
DFT total energy = -7.616 eV per atom

Lattice parameters (Å, degrees): 4.0861 4.0861 8.9337 90.00 90.00 90.00
Element x y z (fractional)
Pa (0.5000, 0.0000, 0.2414)
Pa (0.0000, 0.5000, 0.7586)
Ni (0.0000, 0.0000, 0.5000)
Ni (0.5000, 0.0000, 0.8887)
Ni (0.0000, 0.5000, 0.1113)
P (0.5000, 0.5000, 0.0000)
P (0.0000, 0.0000, 0.0000)
P (0.5000, 0.0000, 0.6387)
P (0.0000, 0.5000, 0.3613)
Ru (0.5000, 0.5000, 0.5000)